This record from the Alexandria database describes crystalline Li3MnCoO5 at its relaxed geometry. The functional is PBE with a Hubbard U.

Lattice parameters (Å, degrees): 7.844 7.844 5.092 84.21 84.21 142.98
Fractional coordinates of all 20 atoms:
O1 0.633 0.853 0.278
O2 0.044 0.454 0.279
O3 0.147 0.367 0.722
O4 0.225 0.225 0.255
Li1 0.409 0.591 0.000
Li2 0.801 0.199 0.000
Mn1 0.301 0.699 0.500
O5 0.454 0.044 0.279
Mn2 0.699 0.301 0.500
Li3 0.000 0.000 0.000
O6 0.956 0.546 0.721
Li4 0.500 0.500 0.500
Li5 0.199 0.801 0.000
Co1 0.094 0.906 0.500
O7 0.546 0.956 0.721
O8 0.853 0.633 0.278
Co2 0.906 0.094 0.500
Li6 0.591 0.409 0.000
O9 0.367 0.147 0.722
O10 0.775 0.775 0.745

Computed properties:
crystal system: monoclinic
relative energy among the computed polymorphs: 29 meV per atom
VASP energy: -5.934 eV per atom